Compound: SrZnSe2
Source: Alexandria via LeMat-Bulk
Functional: meta-GGA SCAN
Structure: single point on PBEsol structure

Results
N(E_F): 2.2 states/eV/cell
Energy relative to the elements, uncorrected: -0.45 eV per atom
V: 22.98 A^3/atom

a b c (Å): 5.066 5.066 5.066
angles (deg): 60.00 60.00 60.00
Fractional coordinates of all 4 atoms:
Sr (0.000, 0.000, 0.000)
Zn (0.750, 0.750, 0.750)
Se (0.250, 0.250, 0.250)
Se (0.500, 0.500, 0.500)